Record 1
Crystalline Ca3Cl at its relaxed geometry, computed with PBE.

CIF file:
```
data_Ca3Cl
_space_group_name_H-M_alt 'C m m m'
_space_group_IT_number 65
_space_group_name_Hall '-C 2 2'
_cell_length_a 3.968
_cell_length_b 6.570
_cell_length_c 10.653
_cell_angle_alpha 90.00
_cell_angle_beta 90.00
_cell_angle_gamma 90.00
loop_
_atom_site_label
_atom_site_type_symbol
_atom_site_fract_x
_atom_site_fract_y
_atom_site_fract_z
Ca1 Ca 0.000 0.000 0.000
Ca2 Ca 0.000 0.500 0.292
Cl1 Cl 0.000 0.000 0.500
```

Output
Crystal system: orthorhombic
Energy above the most stable polymorph in this dataset, meV/atom: 31.4
Formation energy from raw total energies, eV per formula unit: -3.0

=====

Record 2
Crystalline SiMo2Br at its relaxed geometry, computed with PBE.

CIF file:
```
data_SiMo2Br
_space_group_name_H-M_alt 'C 1 m 1'
_space_group_IT_number 8
_cell_length_a 8.957
_cell_length_b 3.157
_cell_length_c 4.738
_cell_angle_alpha 90.00
_cell_angle_beta 105.78
_cell_angle_gamma 90.00
loop_
_space_group_symop_operation_xyz
'x,y,z'
'x,-y,z'
'x+1/2,y+1/2,z'
'x+1/2,-y+1/2,z'
loop_
_atom_site_label
_atom_site_type_symbol
_atom_site_fract_x
_atom_site_fract_y
_atom_site_fract_z
Si1 Si 0.000 0.000 0.000
Mo1 Mo 0.021 0.500 0.568
Mo2 Mo 0.269 0.000 0.910
Br1 Br 0.267 0.500 0.360
```

Output
Crystal system: monoclinic
Energy above the most stable polymorph in this dataset, meV/atom: 280.5
Formation energy from raw total energies, eV per formula unit: 1.7

=====

Record 3
Crystalline CuSbPt at its relaxed geometry, computed with PBE.

CIF file:
```
data_CuSbPt
_space_group_name_H-M_alt 'C m c e'
_space_group_IT_number 64
_space_group_name_Hall '-C 2ac 2'
_cell_length_a 5.449
_cell_length_b 12.141
_cell_length_c 6.554
_cell_angle_alpha 90.00
_cell_angle_beta 90.00
_cell_angle_gamma 90.00
loop_
_atom_site_label
_atom_site_type_symbol
_atom_site_fract_x
_atom_site_fract_y
_atom_site_fract_z
Cu1 Cu 0.250 0.040 0.250
Sb1 Sb 0.000 0.166 0.529
Pt1 Pt 0.000 0.118 0.935
```

Output
Crystal system: orthorhombic
Energy above the most stable polymorph in this dataset, meV/atom: 0.0
Formation energy from raw total energies, eV per formula unit: -0.7

=====

Record 4
Crystalline Ho4CdCuRu2 at its relaxed geometry, computed with PBE.

CIF file:
```
data_Ho4CdCuRu2
_space_group_name_H-M_alt 'R -3 m'
_space_group_IT_number 166
_space_group_name_Hall '-R 3 2"'
_cell_length_a 4.9192
_cell_length_b 4.9192
_cell_length_c 24.1670
_cell_angle_alpha 90.00
_cell_angle_beta 90.00
_cell_angle_gamma 120.00
loop_
_atom_site_label
_atom_site_type_symbol
_atom_site_fract_x
_atom_site_fract_y
_atom_site_fract_z
Ho1 Ho 0.0000 0.0000 0.1202
Ho2 Ho 0.0000 0.0000 0.3714
Cd1 Cd 0.0000 0.0000 0.5000
Cu1 Cu 0.0000 0.0000 0.0000
Ru1 Ru 0.0000 0.0000 0.2493
```

Output
Crystal system: trigonal
Calculated formation energy, eV per atom: -0.330

=====

Short version: size of the total moment = 0.000; 0.000; 0.000; 0.000 μB per cell, in the order given.